[1]
{
  "formula": "YCuAsIr",
  "functional": "PBE-GGA",
  "state": "optimized geometry",
  "lattice_angstrom": [[0.0000, 3.2671, 3.2671], [3.2671, 0.0000, 3.2671], [3.2671, 3.2671, 0.0000]],
  "species": ["As", "Cu", "Ir", "Y"],
  "fractional_positions": [[0.0000, 0.0000, 0.0000], [0.7500, 0.7500, 0.7500], [0.2500, 0.2500, 0.2500], [0.5000, 0.5000, 0.5000]],
  "e_above_lowest_polymorph_ev_per_atom": 0.096,
  "mass_density_g_cm3": 10.0,
  "magnetic_moment_mub_per_atom": 0.000
}


[2]
{
  "formula": "Hf2NiGe2Pd",
  "functional": "PBE-GGA",
  "state": "optimized geometry",
  "lattice_angstrom": [[-4.0916, -1.3213, 5.9771], [-0.0050, -4.1315, -0.9167], [12.8436, -1.2559, 5.5905]],
  "species": ["Ge", "Ge", "Ge", "Ge", "Ge", "Ge", "Ge", "Ge", "Hf", "Hf", "Hf", "Hf", "Hf", "Hf", "Hf", "Hf", "Ni", "Ni", "Ni", "Ni", "Pd", "Pd", "Pd", "Pd"],
  "fractional_positions": [[0.0625, 0.0000, 0.1828], [0.5620, 0.5000, 0.1870], [0.3134, 0.5000, 0.4440], [0.8162, 0.0000, 0.4449], [0.5535, 0.0000, 0.6839], [0.0661, 0.5000, 0.6843], [0.3051, 0.0000, 0.9329], [0.8198, 0.5000, 0.9378], [0.1784, 0.5000, 0.0585], [0.6973, 0.0000, 0.0613], [0.4401, 0.0000, 0.3195], [0.9407, 0.5000, 0.3204], [0.6846, 0.5000, 0.5588], [0.1880, 0.0000, 0.5633], [0.4245, 0.5000, 0.8059], [0.9477, 0.0000, 0.8141], [0.4994, 0.0000, 0.5018], [0.0013, 0.5000, 0.5031], [0.2472, 0.0000, 0.7471], [0.0010, 0.0000, 0.9980], [0.2496, 0.5000, 0.2516], [0.7527, 0.0000, 0.2531], [0.7500, 0.5000, 0.7488], [0.4991, 0.5000, 0.9969]],
  "mass_density_g_cm3": 10.3,
  "magnetic_moment_mub_per_atom": 0.000,
  "final_energy_ev_per_atom": -7.38
}


[3]
{
  "formula": "CdCuSiPd",
  "functional": "PBE-GGA",
  "state": "optimized geometry",
  "lattice_angstrom": [[4.4218, 0.0438, 0.2670], [2.0182, -1.6209, 3.5952], [2.2723, -3.7943, -0.2568]],
  "species": ["Cd", "Cu", "Pd", "Si"],
  "fractional_positions": [[0.5000, 0.5000, 0.5000], [0.7500, 0.7500, 0.7500], [0.2500, 0.2500, 0.2500], [0.0000, 0.0000, 0.0000]],
  "e_above_lowest_polymorph_ev_per_atom": 0.000,
  "mass_density_g_cm3": 8.4
}


[4]
{
  "formula": "ErAsN2O",
  "functional": "PBE-GGA",
  "state": "optimized geometry",
  "lattice_angstrom": [[-3.0253, -5.0988, -5.2871], [6.5407, -1.1125, -2.6697], [3.9242, -1.2120, 10.1193]],
  "species": ["As", "As", "As", "As", "As", "As", "As", "As", "Er", "Er", "Er", "Er", "Er", "Er", "Er", "Er", "N", "N", "N", "N", "N", "N", "N", "N", "N", "N", "N", "N", "N", "N", "N", "N", "O", "O", "O", "O", "O", "O", "O", "O"],
  "fractional_positions": [[0.6755, 0.2506, 0.2079], [0.6628, 0.7415, 0.2106], [0.3372, 0.2415, 0.2894], [0.3245, 0.7506, 0.2921], [0.6755, 0.2494, 0.7079], [0.6628, 0.7585, 0.7106], [0.3372, 0.2585, 0.7894], [0.3245, 0.7494, 0.7921], [0.8013, 0.9844, 0.0200], [0.8701, 0.4906, 0.0783], [0.1299, 0.9906, 0.4217], [0.1987, 0.4844, 0.4800], [0.8013, 0.5156, 0.5200], [0.8701, 0.0094, 0.5783], [0.1299, 0.5094, 0.9217], [0.1987, 0.0156, 0.9800], [0.5933, 0.7009, 0.0047], [0.3839, 0.7270, 0.1492], [0.7111, 0.9910, 0.1876], [0.1990, 0.9973, 0.2072], [0.8010, 0.4973, 0.2928], [0.2889, 0.4910, 0.3124], [0.6161, 0.2270, 0.3508], [0.4067, 0.2009, 0.4953], [0.5933, 0.7991, 0.5047], [0.3839, 0.7730, 0.6492], [0.7111, 0.5090, 0.6876], [0.1990, 0.5027, 0.7072], [0.8010, 0.0027, 0.7928], [0.2889, 0.0090, 0.8124], [0.6161, 0.2730, 0.8508], [0.4067, 0.2991, 0.9953], [0.1007, 0.2892, 0.0506], [0.9340, 0.2361, 0.2189], [0.0660, 0.7361, 0.2811], [0.8993, 0.7892, 0.4494], [0.1007, 0.2108, 0.5506], [0.9340, 0.2639, 0.7189], [0.0660, 0.7639, 0.7811], [0.8993, 0.7108, 0.9494]],
  "mass_density_g_cm3": 8.4,
  "magnetic_moment_mub_per_atom": 0.000,
  "final_energy_ev_per_atom": -7.08
}


[5]
{
  "formula": "LiTlGaAu",
  "functional": "PBE-GGA",
  "state": "optimized geometry",
  "lattice_angstrom": [[-2.2805, -3.7717, 1.8626], [-1.4185, 0.0789, 4.5692], [-4.6576, 0.3016, 1.0543]],
  "species": ["Au", "Ga", "Li", "Tl"],
  "fractional_positions": [[0.7500, 0.7500, 0.7500], [0.0000, 0.0000, 0.0000], [0.5000, 0.5000, 0.5000], [0.2500, 0.2500, 0.2500]],
  "e_above_lowest_polymorph_ev_per_atom": 0.000,
  "mass_density_g_cm3": 10.2
}


[6]
{
  "formula": "DyTmTl4Ni2",
  "functional": "PBE-GGA",
  "state": "optimized geometry",
  "lattice_angstrom": [[7.5266, 0.0000, 0.0000], [0.0000, 2.1611, 5.3348], [0.0000, -2.1611, 5.3348]],
  "species": ["Dy", "Ni", "Ni", "Tl", "Tl", "Tl", "Tl", "Tm"],
  "fractional_positions": [[0.0000, 0.4310, 0.4310], [0.5000, 0.2875, 0.2875], [0.0000, 0.7134, 0.7134], [0.2049, 0.1405, 0.1405], [0.7951, 0.1405, 0.1405], [0.2966, 0.8590, 0.8590], [0.7034, 0.8590, 0.8590], [0.5000, 0.5691, 0.5691]],
  "mass_density_g_cm3": 12.1,
  "magnetic_moment_mub_per_atom": 0.001,
  "final_energy_ev_per_atom": -3.87
}